# 1
This record from Alexandria via LeMat-Bulk describes crystalline Mg2H2Se at its relaxed geometry. The functional is PBE.

Results
- crystal system = tetragonal
- space group = No. 139
- calculated total energy (eV per atom) = -3.157

abc: 5.922 5.922 5.922
angles: 146.15 146.15 48.63
Sites, in units of the cell vectors:
Mg 0.148 0.148 0.000
Mg 0.852 0.852 0.000
H 0.250 0.750 0.500
H 0.750 0.250 0.500
Se 0.500 0.500 0.000



# 2
This record from Alexandria via LeMat-Bulk describes crystalline TbNd3Bi2 at its relaxed geometry. The functional is PBE.

Results
- crystal system = orthorhombic
- space group = No. 72
- E_form (kJ/mol of formula units) = -240

abc: 9.237 9.237 9.237
angles: 134.05 71.73 128.19
Sites, in units of the cell vectors:
Tb 0.000 0.000 0.000
Tb 0.500 0.500 0.000
Nd 0.048 0.250 0.798
Nd 0.250 0.750 0.500
Nd 0.452 0.250 0.202
Nd 0.548 0.750 0.798
Nd 0.750 0.250 0.500
Nd 0.952 0.750 0.202
Bi 0.147 0.666 0.814
Bi 0.353 0.166 0.519
Bi 0.647 0.834 0.481
Bi 0.853 0.334 0.186



# 3
This record from Alexandria via LeMat-Bulk describes crystalline Pm7Sm2Er3 at its relaxed geometry. The functional is PBE.

Results
- crystal system = monoclinic
- space group = No. 10
- E_form (kJ/mol of formula units) = 78

abc: 6.441 3.562 17.596
angles: 90.00 95.93 90.00
Sites, in units of the cell vectors:
Pm 0.000 0.000 0.000
Pm 0.227 0.500 0.170
Pm 0.258 0.500 0.496
Pm 0.277 0.000 0.835
Pm 0.723 0.000 0.165
Pm 0.742 0.500 0.504
Pm 0.773 0.500 0.830
Sm 0.059 0.500 0.671
Sm 0.941 0.500 0.329
Er 0.454 0.000 0.341
Er 0.500 0.500 0.000
Er 0.546 0.000 0.659



# 4
This record from Alexandria via LeMat-Bulk describes crystalline CdAgOs2 at its relaxed geometry. The functional is PBE.

Results
- crystal system = orthorhombic
- space group = No. 65
- E_form (kJ/mol of formula units) = 343

abc: 5.262 5.262 2.749
angles: 90.00 90.00 119.65
Sites, in units of the cell vectors:
Cd 0.000 0.000 0.000
Ag 0.500 0.500 0.000
Os 0.000 0.500 0.500
Os 0.500 0.000 0.500